## CdNiP2 (PBE)

Data for CdNiP2 after structural relaxation.

abc: 4.711 4.711 4.711
angles: 128.28 128.28 76.17
Fractional coordinates of all 4 atoms:
Cd 0.000 0.000 0.000
Ni 0.500 0.500 0.000
P 0.250 0.750 0.500
P 0.750 0.250 0.500

Output
The value obtained for the energy relative to the elements is 42 kJ/mol of atoms. For the total energy, the calculation gives -3.9489 eV per atom. The value obtained for the density of states at the Fermi level is 0.55 states/eV/atom.



## Ta2TlIr (PBE)

Data for Ta2TlIr after structural relaxation.

abc: 5.177 5.177 5.054
angles: 103.32 103.32 33.92
Fractional coordinates of all 4 atoms:
Ta 0.238 0.238 0.231
Ta 0.762 0.762 0.769
Tl 0.000 0.000 0.500
Ir 0.500 0.500 0.000

Output
The value obtained for the energy relative to the elements is 25 kJ/mol of atoms. The distance to the lowest polymorph of the same formula is 259.0 meV per atom. For the total energy, the calculation gives -8.4761 eV per atom. The value obtained for the density of states at the Fermi level is 0.91 states/eV/atom.



## CaSm2Cd3 (PBE)

Data for CaSm2Cd3 after structural relaxation.

abc: 3.802 3.802 11.610
angles: 90.00 90.00 90.00
Fractional coordinates of all 6 atoms:
Ca 0.000 0.000 0.000
Sm 0.000 0.000 0.336
Sm 0.000 0.000 0.664
Cd 0.500 0.500 0.172
Cd 0.500 0.500 0.500
Cd 0.500 0.500 0.828

Output
The value obtained for the energy relative to the elements is -33 kJ/mol of atoms. The distance to the lowest polymorph of the same formula is 7.4 meV per atom. For the total energy, the calculation gives -2.7021 eV per atom. The value obtained for the density of states at the Fermi level is 0.92 states/eV/atom.